1.
5
Lattice="6.0570 0.0000 0.0000 0.0000 6.0570 0.0000 0.0000 0.0000 6.0570" Properties=species:S:1:pos:R:3 comment="Tl3SnCl (GGA-PBE, optimized geometry)" e_above_lowest_polymorph_mev_per_atom=0 crystal_system=cubic spacegroup="No. 221" pbc="T T T"
Tl 0.0000 0.0000 3.0285
Tl 0.0000 3.0285 0.0000
Tl 3.0285 0.0000 0.0000
Sn 0.0000 0.0000 0.0000
Cl 3.0285 3.0285 3.0285



2.
12
Lattice="3.3578 0.0000 0.0000 -1.6789 2.9079 0.0000 0.0000 0.0000 33.5032" Properties=species:S:1:pos:R:3 comment="Nd2ZrCl (GGA-PBE, optimized geometry)" crystal_system=trigonal spacegroup="No. 166" dft_energy_ev_per_cell=-63.7 pbc="T T T"
Nd 0.0000 0.0000 3.2565
Nd 0.0000 0.0000 30.2467
Nd 0.0000 1.9386 19.0790
Nd 0.0000 1.9386 25.5920
Nd 1.6789 0.9693 7.9112
Nd 1.6789 0.9693 14.4242
Zr 0.0000 0.0000 0.0000
Zr 0.0000 1.9386 22.3355
Zr 1.6789 0.9693 11.1677
Cl 0.0000 0.0000 16.7516
Cl 0.0000 1.9386 5.5839
Cl 1.6789 0.9693 27.9193



3.
16
Lattice="3.0899 -7.5325 0.0000 3.0899 7.5325 0.0000 0.0000 0.0000 13.3648" Properties=species:S:1:pos:R:3 comment="Pm2ScTe5 (GGA-PBE, optimized geometry)" crystal_system=orthorhombic spacegroup="No. 63" dft_energy_ev_per_cell=-81.6 pbc="T T T"
Pm 3.0899 5.0860 7.5626
Pm 3.0899 5.0860 12.4846
Pm 3.0899 -5.0860 0.8802
Pm 3.0899 -5.0860 5.8022
Sc 3.0899 4.6005 3.3412
Sc 3.0899 -4.6005 10.0236
Te 3.0899 6.9887 1.6820
Te 3.0899 6.9887 5.0005
Te 3.0899 3.1528 10.0236
Te 3.0899 2.6934 1.1491
Te 3.0899 2.6934 5.5334
Te 3.0899 -2.6934 7.8315
Te 3.0899 -2.6934 12.2158
Te 3.0899 -3.1528 3.3412
Te 3.0899 -6.9887 8.3644
Te 3.0899 -6.9887 11.6829



no.,total moment (μB per atom)
1,0.000
2,0.000
3,0.000